Density functional theory data (GGA-PBE) for a relaxed BiBIrRh2 crystal.

## Properties
Raw total energy   -6.82 eV per atom
Magnetization   0.00 μB per atom
DFT formation energy   0.0083 eV/atom

CIF file:
```
data_BiBIrRh2
_cell_length_a 4.2862
_cell_length_b 4.2862
_cell_length_c 4.1981
_cell_angle_alpha 90.00
_cell_angle_beta 90.00
_cell_angle_gamma 90.00
_space_group_name_H-M_alt 'P 1'
_space_group_IT_number 1
loop_
_space_group_symop_operation_xyz
'x,y,z'
loop_
_atom_site_label
_atom_site_fract_x
_atom_site_fract_y
_atom_site_fract_z
_atom_site_occupancy
Bi1 0.0000 0.0000 0.0000 1
B1 0.5000 0.5000 0.5000 1
Ir1 0.5000 0.5000 0.0000 1
Rh1 0.0000 0.5000 0.5000 1
Rh2 0.5000 0.0000 0.5000 1
```

=====

Density functional theory data (GGA-PBE) for a relaxed BiBIr2S crystal.

## Properties
Raw formation energy   2.65 eV/f.u.
Raw total energy   -5.95 eV per atom
Magnetization   0.00 μB per atom

CIF file:
```
data_BiBIr2S
_cell_length_a 4.1927
_cell_length_b 4.1927
_cell_length_c 4.6887
_cell_angle_alpha 90.00
_cell_angle_beta 90.00
_cell_angle_gamma 90.00
_space_group_name_H-M_alt 'P 1'
_space_group_IT_number 1
loop_
_space_group_symop_operation_xyz
'x,y,z'
loop_
_atom_site_label
_atom_site_fract_x
_atom_site_fract_y
_atom_site_fract_z
_atom_site_occupancy
Bi1 0.0000 0.0000 0.0000 1
B1 0.5000 0.5000 0.5000 1
Ir1 0.0000 0.5000 0.5000 1
Ir2 0.5000 0.0000 0.5000 1
S1 0.5000 0.5000 0.0000 1
```

=====

Density functional theory data (GGA-PBE) for a relaxed SiBi2BIr crystal.

## Properties
Raw formation energy   6.06 eV/f.u.
Raw total energy   -4.53 eV per atom
Magnetization   0.00 μB per atom

CIF file:
```
data_SiBi2BIr
_cell_length_a 5.4818
_cell_length_b 5.4818
_cell_length_c 4.4559
_cell_angle_alpha 90.00
_cell_angle_beta 90.00
_cell_angle_gamma 90.00
_space_group_name_H-M_alt 'P 1'
_space_group_IT_number 1
loop_
_space_group_symop_operation_xyz
'x,y,z'
loop_
_atom_site_label
_atom_site_fract_x
_atom_site_fract_y
_atom_site_fract_z
_atom_site_occupancy
Si1 0.0000 0.0000 0.0000 1
Bi1 0.0000 0.5000 0.5000 1
Bi2 0.5000 0.0000 0.5000 1
B1 0.5000 0.5000 0.0000 1
Ir1 0.0000 0.0000 0.5000 1
```

=====

> Number 1 is which compound?

BiBIrRh2

=====

> Which of these has the lowest raw total energy?

BiBIrRh2

=====

> Which formula does entry 2 have?

BiBIr2S

=====

Repeat the third record exactly.
Density functional theory data (GGA-PBE) for a relaxed SiBi2BIr crystal.

## Properties
Raw formation energy   6.06 eV/f.u.
Raw total energy   -4.53 eV per atom
Magnetization   0.00 μB per atom

CIF file:
```
data_SiBi2BIr
_cell_length_a 5.4818
_cell_length_b 5.4818
_cell_length_c 4.4559
_cell_angle_alpha 90.00
_cell_angle_beta 90.00
_cell_angle_gamma 90.00
_space_group_name_H-M_alt 'P 1'
_space_group_IT_number 1
loop_
_space_group_symop_operation_xyz
'x,y,z'
loop_
_atom_site_label
_atom_site_fract_x
_atom_site_fract_y
_atom_site_fract_z
_atom_site_occupancy
Si1 0.0000 0.0000 0.0000 1
Bi1 0.0000 0.5000 0.5000 1
Bi2 0.5000 0.0000 0.5000 1
B1 0.5000 0.5000 0.0000 1
Ir1 0.0000 0.0000 0.5000 1
```